Entry 1:
Density functional theory data (PBE) for Tb4InIr after structural relaxation.

Geometry as POSCAR:
```
Tb4InIr
1.0
0.000 6.862 6.862
6.862 0.000 6.862
6.862 6.862 0.000
Tb In Ir
16 4 4
direct
0.190 0.190 0.810
0.190 0.810 0.190
0.190 0.810 0.810
0.401 0.401 0.401
0.401 0.401 0.797
0.401 0.797 0.401
0.558 0.558 0.942
0.558 0.942 0.558
0.558 0.942 0.942
0.797 0.401 0.401
0.810 0.190 0.190
0.810 0.190 0.810
0.810 0.810 0.190
0.942 0.558 0.558
0.942 0.558 0.942
0.942 0.942 0.558
0.167 0.167 0.167
0.167 0.167 0.498
0.167 0.498 0.167
0.498 0.167 0.167
0.173 0.609 0.609
0.609 0.173 0.609
0.609 0.609 0.173
0.609 0.609 0.609
```

**Formation enthalpy at 0 K**: -0.575 eV/atom
**V**: 646.2 Å³ per cell
**Space group**: No. 216



Entry 2:
Density functional theory data (PBE) for Te2PbSI after structural relaxation.

Geometry as POSCAR:
```
Te2PbSI
1.0
5.327 0.000 0.000
0.000 5.327 0.000
0.000 0.000 5.606
Te Pb S I
2 1 1 1
direct
0.000 0.500 0.000
0.500 0.000 0.000
0.000 0.000 0.500
0.500 0.500 0.000
0.500 0.500 0.500
```

**V**: 159.1 Å³ per cell
**Space group**: No. 123
**Raw formation energy**: 0.176 eV per atom



Entry 3:
Density functional theory data (PBE) for Sr2Zn3BiAu12 after structural relaxation.

Geometry as POSCAR:
```
Sr2Zn3BiAu12
1.0
3.516 2.030 9.816
-3.516 2.030 9.816
0.000 -4.060 9.816
Sr Zn Bi Au
2 3 1 12
direct
0.139 0.139 0.139
0.861 0.861 0.861
0.000 0.500 0.500
0.500 0.000 0.500
0.500 0.500 0.000
0.500 0.500 0.500
0.062 0.624 0.624
0.093 0.093 0.688
0.093 0.688 0.093
0.312 0.907 0.907
0.376 0.376 0.938
0.376 0.938 0.376
0.624 0.062 0.624
0.624 0.624 0.062
0.688 0.093 0.093
0.907 0.312 0.907
0.907 0.907 0.312
0.938 0.376 0.376
```

**Formation enthalpy at 0 K**: -0.204 eV/atom
**V**: 420.4 Å³ per cell
**Space group**: No. 166



Entry 4:
Density functional theory data (PBE) for KC2N3 after structural relaxation.

Geometry as POSCAR:
```
KC2N3
1.0
6.191 0.000 0.000
0.000 15.881 0.000
-0.803 0.000 4.292
K C N
4 8 12
direct
0.225 0.073 0.352
0.225 0.427 0.852
0.775 0.573 0.148
0.775 0.927 0.648
0.323 0.601 0.491
0.323 0.899 0.991
0.461 0.221 0.864
0.461 0.279 0.364
0.539 0.721 0.636
0.539 0.779 0.136
0.677 0.101 0.009
0.677 0.399 0.509
0.233 0.545 0.335
0.233 0.955 0.835
0.391 0.222 0.151
0.391 0.278 0.651
0.409 0.655 0.694
0.409 0.845 0.194
0.591 0.155 0.806
0.591 0.345 0.306
0.609 0.722 0.349
0.609 0.778 0.849
0.767 0.045 0.165
0.767 0.455 0.665
```

**V**: 422.0 Å³ per cell
**Space group**: No. 14
**Raw formation energy**: -0.126 eV per atom



Entry 5:
Density functional theory data (PBE) for Cs2BaAuC after structural relaxation.

Geometry as POSCAR:
```
Cs2BaAuC
1.0
7.670 0.000 0.000
0.000 7.670 0.000
0.000 0.000 3.956
Cs Ba Au C
2 1 1 1
direct
0.000 0.500 0.000
0.500 0.000 0.000
0.000 0.000 0.500
0.500 0.500 0.000
0.500 0.500 0.500
```

**Formation enthalpy at 0 K**: 0.724 eV/atom
**V**: 232.7 Å³ per cell
**Space group**: No. 123



Entry 6:
Density functional theory data (PBE) for TlFeAg2 after structural relaxation.

Geometry as POSCAR:
```
TlFeAg2
1.0
4.038 0.000 0.000
0.000 4.038 0.000
0.000 0.000 4.464
Tl Fe Ag
1 1 2
direct
0.000 0.000 0.000
0.500 0.500 0.000
0.000 0.500 0.500
0.500 0.000 0.500
```

**Formation enthalpy at 0 K**: 0.401 eV/atom
**V**: 72.8 Å³ per cell
**Space group**: No. 123



Entry 7:
Density functional theory data (PBE) for Tm4Mg3Tc after structural relaxation.

Geometry as POSCAR:
```
Tm4Mg3Tc
1.0
3.508 0.000 0.000
0.000 3.508 0.000
0.000 0.000 16.149
Tm Mg Tc
4 3 1
direct
0.000 0.000 0.097
0.000 0.000 0.368
0.000 0.000 0.632
0.000 0.000 0.903
0.500 0.500 0.237
0.500 0.500 0.500
0.500 0.500 0.763
0.500 0.500 0.000
```

**Formation enthalpy at 0 K**: -0.085 eV/atom
**V**: 198.7 Å³ per cell
**Space group**: No. 123



Entry 8:
Density functional theory data (PBE) for Ho2CN2O2 after structural relaxation.

Geometry as POSCAR:
```
Ho2CN2O2
1.0
3.711 0.000 0.000
-1.856 3.214 0.000
0.000 0.000 8.184
Ho C N O
2 1 2 2
direct
0.333 0.667 0.177
0.667 0.333 0.823
0.000 0.000 0.500
0.000 0.000 0.349
0.000 0.000 0.651
0.333 0.667 0.897
0.667 0.333 0.103
```

**V**: 97.6 Å³ per cell
**Space group**: No. 164
**Raw formation energy**: -2.204 eV per atom